First-principles (PBE) data for CaCdPb after structural relaxation, as listed in the Alexandria database.

- DFT formation energy: -328 meV/atom
- Crystal system: triclinic

Cell lengths 5.0042, 5.5703, 6.8372 Å; angles 81.87, 89.79, 63.51 degrees
Sites, in units of the cell vectors:
Ca 0.0000 0.0000 0.0000
Ca 0.3244 0.3517 0.6375
Cd 0.6644 0.6719 0.3276
Cd 0.9972 0.0061 0.4869
Pb 0.3282 0.3439 0.1583
Pb 0.6615 0.6785 0.8080

---

First-principles (PBE) data for LaCd2Ir after structural relaxation, as listed in the Alexandria database.

- DFT formation energy: -284 meV/atom
- Crystal system: monoclinic

Cell lengths 5.3533, 5.3533, 6.0592 Å; angles 123.55, 123.55, 44.86 degrees
Sites, in units of the cell vectors:
La 0.0000 0.0000 0.0000
Cd 0.1698 0.1698 0.6667
Cd 0.4045 0.4045 0.4651
Ir 0.7263 0.7263 0.0456

---

First-principles (PBE) data for SrIn6Au12 after structural relaxation, as listed in the Alexandria database.

- Energy above the most stable polymorph in this dataset: 23 meV/atom
- DFT formation energy: -207 meV/atom
- Crystal system: trigonal

Cell lengths 7.8193, 7.8193, 7.8193 Å; angles 104.48, 104.48, 104.48 degrees
Sites, in units of the cell vectors:
Sr 0.0000 0.0000 0.0000
In 0.2891 0.2891 0.6960
In 0.2891 0.6960 0.2891
In 0.3040 0.7109 0.7109
In 0.6960 0.2891 0.2891
In 0.7109 0.3040 0.7109
In 0.7109 0.7109 0.3040
Au 0.1125 0.5000 0.8875
Au 0.1125 0.8875 0.5000
Au 0.1152 0.3614 0.3614
Au 0.3614 0.1152 0.3614
Au 0.3614 0.3614 0.1152
Au 0.5000 0.1125 0.8875
Au 0.5000 0.8875 0.1125
Au 0.6386 0.6386 0.8848
Au 0.6386 0.8848 0.6386
Au 0.8848 0.6386 0.6386
Au 0.8875 0.1125 0.5000
Au 0.8875 0.5000 0.1125

---

First-principles (PBE) data for Y8ErAl2 after structural relaxation, as listed in the Alexandria database.

- Energy above the most stable polymorph in this dataset: 111 meV/atom
- DFT formation energy: -8 meV/atom
- Crystal system: monoclinic

Cell lengths 8.5157, 8.5157, 5.6040 Å; angles 101.26, 101.26, 117.33 degrees
Sites, in units of the cell vectors:
Y 0.0860 0.3247 0.6063
Y 0.2260 0.7740 0.0000
Y 0.3247 0.0860 0.6063
Y 0.4017 0.4017 0.2032
Y 0.5983 0.5983 0.7968
Y 0.6753 0.9140 0.3937
Y 0.7740 0.2260 0.0000
Y 0.9140 0.6753 0.3937
Er 0.0000 0.0000 0.0000
Al 0.3078 0.6922 0.5000
Al 0.6922 0.3078 0.5000

---

First-principles (PBE) data for La3Nd6DyEr2 after structural relaxation, as listed in the Alexandria database.

- DFT formation energy: 20 meV/atom
- Crystal system: monoclinic

Cell lengths 6.3467, 6.3467, 12.0997 Å; angles 95.03, 95.03, 120.05 degrees
Sites, in units of the cell vectors:
La 0.0000 0.0000 0.0000
La 0.3331 0.6669 0.0000
La 0.6669 0.3331 0.0000
Nd 0.0849 0.4186 0.2568
Nd 0.2478 0.2478 0.7433
Nd 0.4186 0.0849 0.2568
Nd 0.5814 0.9151 0.7432
Nd 0.7522 0.7522 0.2567
Nd 0.9151 0.5814 0.7432
Dy 0.5000 0.5000 0.5000
Er 0.1667 0.8333 0.5000
Er 0.8333 0.1667 0.5000

---

First-principles (PBE) data for TcTeSe2 after structural relaxation, as listed in the Alexandria database.

- Electronic total energy: -4.86 eV/atom
- Crystal system: tetragonal

Cell lengths 6.7060, 6.7060, 6.7060 Å; angles 119.26, 119.26, 91.28 degrees
Sites, in units of the cell vectors:
Tc 0.0000 0.0000 0.0000
Tc 0.7500 0.2500 0.5000
Te 0.2500 0.7500 0.5000
Te 0.5000 0.5000 0.0000
Se 0.0484 0.1250 0.4234
Se 0.3750 0.9516 0.0766
Se 0.7016 0.6250 0.5766
Se 0.8750 0.2984 0.9234

---

First-principles (PBE) data for FeCuNiC2 after structural relaxation, as listed in the Alexandria database.

- DFT formation energy: 2168 meV/atom
- Crystal system: tetragonal

Cell lengths 3.6628, 3.6628, 4.5923 Å; angles 90.00, 90.00, 90.00 degrees
Sites, in units of the cell vectors:
Fe 0.0000 0.0000 0.0000
Cu 0.0000 0.0000 0.5000
Ni 0.5000 0.5000 0.0000
C 0.0000 0.5000 0.5000
C 0.5000 0.0000 0.5000

---

First-principles (PBE) data for Ce2PmAg2Sn2 after structural relaxation, as listed in the Alexandria database.

- DFT formation energy: -384 meV/atom
- Crystal system: trigonal

Cell lengths 9.5500, 9.5500, 9.5500 Å; angles 28.68, 28.68, 28.68 degrees
Sites, in units of the cell vectors:
Ce 0.1437 0.1437 0.1437
Ce 0.8563 0.8563 0.8563
Pm 0.0000 0.0000 0.0000
Ag 0.4214 0.4214 0.4214
Ag 0.5786 0.5786 0.5786
Sn 0.2668 0.2668 0.2668
Sn 0.7332 0.7332 0.7332